(1)
MgNpTcSn: optimized geometry, PBE.

## Properties
Total magnetic moment (μB/cell): 15.29
ΔE_f (eV per atom): 0.25
Calculated total energy (eV per cell): -111.7

The structure in CIF format:
```
data_MgNpTcSn
_chemical_formula_sum 'Mg4 Np4 Tc4 Sn4'
_cell_length_a 6.8275
_cell_length_b 6.8275
_cell_length_c 6.8275
_cell_angle_alpha 90.00
_cell_angle_beta 90.00
_cell_angle_gamma 90.00
_space_group_name_H-M_alt 'F -4 3 m'
_space_group_IT_number 216
_space_group_name_Hall 'F -4 2 3'
loop_
_atom_site_label
_atom_site_fract_x
_atom_site_fract_y
_atom_site_fract_z
Mg1 0.0000 0.0000 0.0000
Np1 0.2500 0.2500 0.2500
Tc1 0.0000 0.0000 0.5000
Sn1 0.2500 0.2500 0.7500
```

(2)
CsRbAgPt2: optimized geometry, PBE.

## Properties
Total magnetic moment (μB/cell): 0.00
ΔE_f (eV per atom): 1.25
Calculated total energy (eV per cell): -10.5

The structure in CIF format:
```
data_CsRbAgPt2
_chemical_formula_sum 'Cs1 Rb1 Ag1 Pt2'
_cell_length_a 5.6484
_cell_length_b 5.6484
_cell_length_c 5.9626
_cell_angle_alpha 90.00
_cell_angle_beta 90.00
_cell_angle_gamma 90.00
_space_group_name_H-M_alt 'P 4/m m m'
_space_group_IT_number 123
_space_group_name_Hall '-P 4 2'
loop_
_atom_site_label
_atom_site_fract_x
_atom_site_fract_y
_atom_site_fract_z
Cs1 0.0000 0.0000 0.0000
Rb1 0.5000 0.5000 0.5000
Ag1 0.5000 0.5000 0.0000
Pt1 0.0000 0.5000 0.5000
```

ΔE_f of number 1 (MgNpTcSn)?
0.25 eV per atom